The following is a DFT calculation (PBE) of an optimized crystal structure of TaNb2HRh.

Cell and atoms, written as POSCAR:
```
TaNb2HRh
1.0
3.976 0.000 0.000
0.000 3.976 0.000
0.000 0.000 4.515
Ta Nb H Rh
1 2 1 1
direct
0.000 0.000 0.000
0.000 0.500 0.500
0.500 0.000 0.500
0.500 0.500 0.500
0.500 0.500 0.000
```

Summary:
The calculation puts the energy above the lowest structure with this stoichiometry at 4 meV/atom. For the theoretical density, the calculation gives 10.949 Mg/m³. The calculation puts the total energy at -43.3 eV/cell. Its space group is P4/mmm.

***

The following is a DFT calculation (PBE) of an optimized crystal structure of Ta2NbHRh.

Cell and atoms, written as POSCAR:
```
Ta2NbHRh
1.0
4.435 0.000 0.000
0.000 4.435 0.000
0.000 0.000 3.620
Ta Nb H Rh
2 1 1 1
direct
0.000 0.500 0.000
0.500 0.000 0.000
0.000 0.000 0.500
0.000 0.000 0.000
0.500 0.500 0.500
```

Summary:
The calculation puts the energy above the lowest structure with this stoichiometry at 55 meV/atom. For the theoretical density, the calculation gives 13.029 Mg/m³. The calculation puts the total energy at -45.2 eV/cell. Its space group is P4/mmm.

***

The following is a DFT calculation (PBE) of an optimized crystal structure of NbTc2HRh.

Cell and atoms, written as POSCAR:
```
NbTc2HRh
1.0
3.922 0.000 0.000
0.000 3.922 0.000
0.000 0.000 4.108
Nb Tc H Rh
1 2 1 1
direct
0.000 0.000 0.000
0.000 0.500 0.500
0.500 0.000 0.500
0.000 0.000 0.500
0.500 0.500 0.000
```

Summary:
The calculation puts the energy above the lowest structure with this stoichiometry at 9 meV/atom. For the theoretical density, the calculation gives 10.321 Mg/m³. The calculation puts the total energy at -42.2 eV/cell. Its space group is P4/mmm.

***

The following is a DFT calculation (PBE) of an optimized crystal structure of Nb2TcHRh.

Cell and atoms, written as POSCAR:
```
Nb2TcHRh
1.0
4.221 0.000 0.000
0.000 4.221 0.000
0.000 0.000 3.778
Nb Tc H Rh
2 1 1 1
direct
0.000 0.500 0.000
0.500 0.000 0.000
0.000 0.000 0.500
0.000 0.000 0.000
0.500 0.500 0.500
```

Summary:
The calculation puts the energy above the lowest structure with this stoichiometry at 10 meV/atom. For the theoretical density, the calculation gives 9.562 Mg/m³. The calculation puts the total energy at -42.2 eV/cell. Its space group is P4/mmm.

***

The following is a DFT calculation (PBE) of an optimized crystal structure of Nb2TcHRh.

Cell and atoms, written as POSCAR:
```
Nb2TcHRh
1.0
4.298 0.000 0.000
0.000 4.298 0.000
0.000 0.000 3.652
Nb Tc H Rh
2 1 1 1
direct
0.000 0.500 0.000
0.500 0.000 0.000
0.000 0.000 0.500
0.500 0.500 0.000
0.500 0.500 0.500
```

Summary:
The calculation puts the energy above the lowest structure with this stoichiometry at 0 meV/atom. For the theoretical density, the calculation gives 9.545 Mg/m³. The calculation puts the total energy at -42.2 eV/cell. Its space group is P4/mmm.

***

The following is a DFT calculation (PBE) of an optimized crystal structure of NbTc2HRh.

Cell and atoms, written as POSCAR:
```
NbTc2HRh
1.0
3.965 0.000 0.000
0.000 3.965 0.000
0.000 0.000 4.010
Nb Tc H Rh
1 2 1 1
direct
0.000 0.000 0.000
0.000 0.500 0.500
0.500 0.000 0.500
0.500 0.500 0.500
0.500 0.500 0.000
```

Summary:
The calculation puts the energy above the lowest structure with this stoichiometry at 0 meV/atom. For the theoretical density, the calculation gives 10.345 Mg/m³. The calculation puts the total energy at -42.3 eV/cell. Its space group is P4/mmm.

***

The following is a DFT calculation (PBE) of an optimized crystal structure of Ti2NbHRh.

Cell and atoms, written as POSCAR:
```
Ti2NbHRh
1.0
4.430 0.000 0.000
0.000 4.430 0.000
0.000 0.000 3.433
Ti Nb H Rh
2 1 1 1
direct
0.000 0.500 0.000
0.500 0.000 0.000
0.000 0.000 0.500
0.500 0.500 0.000
0.500 0.500 0.500
```

Summary:
The calculation puts the energy above the lowest structure with this stoichiometry at 15 meV/atom. For the theoretical density, the calculation gives 7.209 Mg/m³. The calculation puts the total energy at -38.1 eV/cell. Its space group is P4/mmm.

***

The following is a DFT calculation (PBE) of an optimized crystal structure of Ti2NbHRh.

Cell and atoms, written as POSCAR:
```
Ti2NbHRh
1.0
4.340 0.000 0.000
0.000 4.340 0.000
0.000 0.000 3.586
Ti Nb H Rh
2 1 1 1
direct
0.000 0.500 0.000
0.500 0.000 0.000
0.000 0.000 0.500
0.000 0.000 0.000
0.500 0.500 0.500
```

Summary:
The calculation puts the energy above the lowest structure with this stoichiometry at 0 meV/atom. For the theoretical density, the calculation gives 7.194 Mg/m³. The calculation puts the total energy at -38.2 eV/cell. Its space group is P4/mmm.

***

The following is a DFT calculation (PBE) of an optimized crystal structure of Nb2TlHRh.

Cell and atoms, written as POSCAR:
```
Nb2TlHRh
1.0
4.185 0.000 0.000
0.000 4.185 0.000
0.000 0.000 4.232
Nb Tl H Rh
2 1 1 1
direct
0.000 0.500 0.000
0.500 0.000 0.000
0.000 0.000 0.500
0.500 0.500 0.000
0.500 0.500 0.500
```

Summary:
For the theoretical density, the calculation gives 11.071 Mg/m³. The calculation puts the total energy at -33.3 eV/cell. Its space group is P4/mmm.

***

The following is a DFT calculation (PBE) of an optimized crystal structure of NbV2HRh.

Cell and atoms, written as POSCAR:
```
NbV2HRh
1.0
3.822 0.000 0.000
0.000 3.822 0.000
0.000 0.000 4.234
Nb V H Rh
1 2 1 1
direct
0.000 0.000 0.000
0.000 0.500 0.500
0.500 0.000 0.500
0.000 0.000 0.500
0.500 0.500 0.000
```

Summary:
The calculation puts the energy above the lowest structure with this stoichiometry at 0 meV/atom. For the theoretical density, the calculation gives 8.020 Mg/m³. The calculation puts the total energy at -39.7 eV/cell. Its space group is P4/mmm.

***

The following is a DFT calculation (PBE) of an optimized crystal structure of NbV2HRh.

Cell and atoms, written as POSCAR:
```
NbV2HRh
1.0
3.813 0.000 0.000
0.000 3.813 0.000
0.000 0.000 4.248
Nb V H Rh
1 2 1 1
direct
0.000 0.000 0.000
0.000 0.500 0.500
0.500 0.000 0.500
0.500 0.500 0.500
0.500 0.500 0.000
```

Summary:
The calculation puts the energy above the lowest structure with this stoichiometry at 42 meV/atom. For the theoretical density, the calculation gives 8.033 Mg/m³. The calculation puts the total energy at -39.5 eV/cell. Its space group is P4/mmm.

***

The following is a DFT calculation (PBE) of an optimized crystal structure of NbHRh2W.

Cell and atoms, written as POSCAR:
```
NbHRh2W
1.0
3.932 0.000 0.000
0.000 3.932 0.000
0.000 0.000 4.128
Nb H Rh W
1 1 2 1
direct
0.000 0.000 0.000
0.000 0.000 0.500
0.000 0.500 0.500
0.500 0.000 0.500
0.500 0.500 0.000
```

Summary:
The calculation puts the energy above the lowest structure with this stoichiometry at 0 meV/atom. For the theoretical density, the calculation gives 12.584 Mg/m³. The calculation puts the total energy at -42.2 eV/cell. Its space group is P4/mmm.

***

The following is a DFT calculation (PBE) of an optimized crystal structure of Nb2HRhW.

Cell and atoms, written as POSCAR:
```
Nb2HRhW
1.0
4.288 0.000 0.000
0.000 4.288 0.000
0.000 0.000 3.774
Nb H Rh W
2 1 1 1
direct
0.000 0.500 0.000
0.500 0.000 0.000
0.000 0.000 0.000
0.500 0.500 0.500
0.000 0.000 0.500
```

Summary:
The calculation puts the energy above the lowest structure with this stoichiometry at 78 meV/atom. For the theoretical density, the calculation gives 11.335 Mg/m³. The calculation puts the total energy at -44.0 eV/cell. Its space group is P4/mmm.

***

The following is a DFT calculation (PBE) of an optimized crystal structure of Nb2HRhW.

Cell and atoms, written as POSCAR:
```
Nb2HRhW
1.0
4.441 0.000 0.000
0.000 4.441 0.000
0.000 0.000 3.515
Nb H Rh W
2 1 1 1
direct
0.000 0.500 0.000
0.500 0.000 0.000
0.000 0.000 0.000
0.000 0.000 0.500
0.500 0.500 0.500
```

Summary:
The calculation puts the energy above the lowest structure with this stoichiometry at 0 meV/atom. For the theoretical density, the calculation gives 11.343 Mg/m³. The calculation puts the total energy at -44.4 eV/cell. Its space group is P4/mmm.

***

The following is a DFT calculation (PBE) of an optimized crystal structure of NbHRh2W.

Cell and atoms, written as POSCAR:
```
NbHRh2W
1.0
3.945 0.000 0.000
0.000 3.945 0.000
0.000 0.000 4.106
Nb H Rh W
1 1 2 1
direct
0.000 0.000 0.000
0.500 0.500 0.500
0.000 0.500 0.500
0.500 0.000 0.500
0.500 0.500 0.000
```

Summary:
The calculation puts the energy above the lowest structure with this stoichiometry at 9 meV/atom. For the theoretical density, the calculation gives 12.567 Mg/m³. The calculation puts the total energy at -42.1 eV/cell. Its space group is P4/mmm.

***

The following is a DFT calculation (PBE) of an optimized crystal structure of Y2NbHRh.

Cell and atoms, written as POSCAR:
```
Y2NbHRh
1.0
5.474 0.000 0.000
0.000 5.474 0.000
0.000 0.000 4.770
Y Nb H Rh
2 1 1 1
direct
0.000 0.500 0.000
0.500 0.000 0.000
0.000 0.000 0.500
0.500 0.500 0.500
0.000 0.000 0.000
```

Summary:
For the theoretical density, the calculation gives 4.353 Mg/m³. The calculation puts the total energy at -30.5 eV/cell. Its space group is P4/mmm.

***

The following is a DFT calculation (PBE) of an optimized crystal structure of Nb2ZnHRh.

Cell and atoms, written as POSCAR:
```
Nb2ZnHRh
1.0
4.021 0.000 0.000
0.000 4.021 0.000
0.000 0.000 4.130
Nb Zn H Rh
2 1 1 1
direct
0.000 0.500 0.000
0.500 0.000 0.000
0.000 0.000 0.500
0.000 0.000 0.000
0.500 0.500 0.500
```

Summary:
The calculation puts the energy above the lowest structure with this stoichiometry at 53 meV/atom. For the theoretical density, the calculation gives 8.831 Mg/m³. The calculation puts the total energy at -32.9 eV/cell. Its space group is P4/mmm.

***

The following is a DFT calculation (PBE) of an optimized crystal structure of Nb2ZnHRh.

Cell and atoms, written as POSCAR:
```
Nb2ZnHRh
1.0
4.096 0.000 0.000
0.000 4.096 0.000
0.000 0.000 3.994
Nb Zn H Rh
2 1 1 1
direct
0.000 0.500 0.000
0.500 0.000 0.000
0.000 0.000 0.500
0.500 0.500 0.000
0.500 0.500 0.500
```

Summary:
The calculation puts the energy above the lowest structure with this stoichiometry at 0 meV/atom. For the theoretical density, the calculation gives 8.803 Mg/m³. The calculation puts the total energy at -33.2 eV/cell. Its space group is P4/mmm.

***

The following is a DFT calculation (PBE) of an optimized crystal structure of NbZnHRh2.

Cell and atoms, written as POSCAR:
```
NbZnHRh2
1.0
4.007 0.000 0.000
0.000 4.007 0.000
0.000 0.000 3.903
Nb Zn H Rh
1 1 1 2
direct
0.000 0.000 0.000
0.500 0.500 0.000
0.500 0.500 0.500
0.000 0.500 0.500
0.500 0.000 0.500
```

Summary:
The calculation puts the energy above the lowest structure with this stoichiometry at 107 meV/atom. For the theoretical density, the calculation gives 9.673 Mg/m³. The calculation puts the total energy at -29.9 eV/cell. Its space group is P4/mmm.

***

The following is a DFT calculation (PBE) of an optimized crystal structure of NbZnHRh2.

Cell and atoms, written as POSCAR:
```
NbZnHRh2
1.0
4.839 0.000 0.000
0.000 4.839 0.000
0.000 0.000 3.324
Nb Zn H Rh
1 1 1 2
direct
0.000 0.000 0.000
0.500 0.500 0.500
0.000 0.000 0.500
0.000 0.500 0.000
0.500 0.000 0.000
```

Summary:
The calculation puts the energy above the lowest structure with this stoichiometry at 664 meV/atom. For the theoretical density, the calculation gives 7.788 Mg/m³. The calculation puts the total energy at -27.1 eV/cell. Its space group is P4/mmm.